[1]
TbHoErMg | Alexandria via LeMat-Bulk | GGA-PBE | relaxed; theoretical density = 7.37 g cm⁻³; SG = F-43m (216); polymorph energy (0 for the lowest one) = 69 meV per atom; M_tot = 0.01 μB/cell; formation energy = 4 kJ per mole of atoms; density of states at the Fermi level = 1.17 states/eV/atom
1.0
5.476 0.000 0.000
2.738 4.743 0.000
2.738 1.581 4.471
Tb Ho Mg Er
1 1 1 1
direct
0.000 0.000 0.000 Tb
0.500 0.500 0.500 Ho
0.250 0.250 0.250 Mg
0.750 0.750 0.750 Er



[2]
Zr2TiIn3 | Alexandria via LeMat-Bulk | GGA-PBE | relaxed; theoretical density = 7.50 g cm⁻³; SG = Cmmm (65); polymorph energy (0 for the lowest one) = 0 meV per atom; M_tot = 0.00 μB/cell; formation energy = -25 kJ per mole of atoms; density of states at the Fermi level = 0.77 states/eV/atom
1.0
-4.420 1.849 -7.451
5.206 -2.602 -3.734
-5.945 -1.668 3.113
Zr In Ti
4 6 2
direct
0.220 0.337 0.663 Zr
0.220 0.663 0.337 Zr
0.720 0.337 0.663 Zr
0.720 0.663 0.337 Zr
0.470 0.836 0.164 In
0.970 0.500 0.500 In
0.970 0.836 0.164 In
0.970 0.164 0.836 In
0.470 0.164 0.836 In
0.470 0.500 0.500 In
0.220 0.000 0.000 Ti
0.720 0.000 0.000 Ti



[3]
KNpMnS3 | Alexandria via LeMat-Bulk | GGA-PBE | relaxed; theoretical density = 4.51 g cm⁻³; SG = P2_1/m (11); M_tot = 15.59 μB/cell; density of states at the Fermi level = 1.75 states/eV/atom; ΔE_f (raw) = -646.5 kJ/mol of formula units
1.0
4.040 0.000 0.000
0.000 8.772 -0.156
0.000 -2.462 8.930
S Np K Mn
6 2 2 2
direct
0.250 0.121 0.858 S
0.750 0.457 0.152 S
0.750 0.195 0.538 S
0.250 0.805 0.462 S
0.250 0.543 0.848 S
0.750 0.879 0.142 S
0.750 0.332 0.847 Np
0.250 0.668 0.153 Np
0.250 0.198 0.230 K
0.750 0.802 0.770 K
0.250 0.081 0.598 Mn
0.750 0.919 0.402 Mn



[4]
HfSc2MoRh | Alexandria via LeMat-Bulk | GGA-PBE | relaxed; theoretical density = 6.84 g cm⁻³; SG = P4/mmm (123); M_tot = 0.00 μB/cell; formation energy = 44 kJ per mole of atoms; density of states at the Fermi level = 1.37 states/eV/atom
1.0
-4.048 2.524 0.529
-1.054 -0.693 -4.759
-2.366 -4.026 1.110
Sc Hf Rh Mo
2 1 1 1
direct
0.000 0.000 0.500 Sc
0.500 0.000 0.000 Sc
0.500 0.500 0.500 Hf
0.000 0.000 0.000 Rh
0.000 0.500 0.000 Mo



> The highest theoretical density belongs to which entry?

Zr2TiIn3